Entry from Alexandria via LeMat-Bulk: crystalline Tl2V2PbO6 at its relaxed geometry (PBE+U).

## Properties
E, eV per atom: -6.160
Symmetry: R-3m

a b c (Å): 6.290 6.290 7.375
angles (deg): 64.75 64.75 60.00
Fractional coordinates of all 11 atoms:
O: 0.262 0.733 0.742
O: 0.733 0.262 0.742
O: 0.738 0.738 0.258
O: 0.267 0.738 0.258
O: 0.738 0.267 0.258
O: 0.262 0.262 0.742
V: 0.568 0.568 0.295
V: 0.432 0.432 0.705
Tl: 0.200 0.200 0.399
Tl: 0.800 0.800 0.601
Pb: 0.000 0.000 0.000